{
  "formula": "PaAlPt",
  "functional": "GGA-PBE",
  "state": "relaxed",
  "lattice": [[7.044, 0.000, 0.000], [0.000, 4.208, 0.000], [-0.150, 0.000, 12.048]],
  "species": ["Pa", "Pa", "Pa", "Pa", "Pa", "Pa", "Al", "Al", "Al", "Al", "Al", "Al", "Pt", "Pt", "Pt", "Pt", "Pt", "Pt"],
  "frac_coords": [[0.003, 0.250, 0.204], [0.384, 0.250, 0.428], [0.482, 0.250, 0.123], [0.518, 0.750, 0.877], [0.616, 0.750, 0.572], [0.997, 0.750, 0.796], [0.021, 0.750, 0.417], [0.164, 0.750, 0.043], [0.339, 0.250, 0.704], [0.661, 0.750, 0.296], [0.836, 0.250, 0.957], [0.979, 0.250, 0.583], [0.208, 0.750, 0.600], [0.220, 0.250, 0.922], [0.283, 0.750, 0.259], [0.717, 0.250, 0.741], [0.780, 0.750, 0.078], [0.792, 0.250, 0.400]],
  "final_energy_ev_per_atom": -7.32,
  "magnetic_moment_mub_per_cell": 0.0,
  "ef_kj_per_mol_atoms": -86.37,
  "space_group": "P2_1/m, No. 11"
}



{
  "formula": "Th4Cd5Co2",
  "functional": "GGA-PBE",
  "state": "relaxed",
  "lattice": [[7.885, 0.000, 0.000], [0.000, 3.646, 0.000], [-0.762, 0.000, 9.579]],
  "species": ["Th", "Th", "Th", "Th", "Cd", "Cd", "Cd", "Cd", "Cd", "Co", "Co"],
  "frac_coords": [[0.166, 0.000, 0.337], [0.210, 0.000, 0.944], [0.790, 0.000, 0.056], [0.834, 0.000, 0.663], [0.183, 0.500, 0.644], [0.459, 0.500, 0.177], [0.500, 0.500, 0.500], [0.541, 0.500, 0.823], [0.817, 0.500, 0.356], [0.079, 0.500, 0.134], [0.921, 0.500, 0.866]],
  "final_energy_ev_per_atom": -4.62,
  "magnetic_moment_mub_per_cell": 0.0,
  "ef_kj_per_mol_atoms": -20.44,
  "space_group": "P2/m, No. 10"
}



{
  "formula": "P2IrAu",
  "functional": "GGA-PBE",
  "state": "relaxed",
  "lattice": [[7.468, 0.000, 0.000], [0.000, 3.535, 0.000], [-0.030, 0.000, 5.255]],
  "species": ["P", "P", "P", "P", "Ir", "Ir", "Au", "Au"],
  "frac_coords": [[0.000, 0.000, 0.000], [0.219, 0.500, 0.584], [0.500, 0.500, 0.000], [0.719, 0.000, 0.584], [0.429, 0.000, 0.733], [0.929, 0.500, 0.733], [0.279, 0.000, 0.239], [0.779, 0.500, 0.239]],
  "final_energy_ev_per_atom": -5.83,
  "e_above_lowest_polymorph_mev_per_atom": 136,
  "magnetic_moment_mub_per_cell": 0.0,
  "ef_kj_per_mol_atoms": -8.57,
  "space_group": "Cm, No. 8"
}



{
  "formula": "BC2",
  "functional": "GGA-PBE",
  "state": "relaxed",
  "lattice": [[6.649, -1.269, 0.000], [6.649, 1.269, 0.000], [-1.233, 0.000, 4.519]],
  "species": ["B", "B", "B", "B", "C", "C", "C", "C", "C", "C", "C", "C"],
  "frac_coords": [[0.000, 0.000, 0.000], [0.505, 0.505, 0.500], [0.668, 0.668, 0.321], [0.832, 0.832, 0.161], [0.125, 0.125, 0.101], [0.169, 0.169, 0.826], [0.288, 0.288, 0.939], [0.334, 0.334, 0.668], [0.454, 0.454, 0.783], [0.633, 0.633, 0.637], [0.799, 0.799, 0.483], [0.956, 0.956, 0.298]],
  "final_energy_ev_per_atom": -8.02,
  "e_above_lowest_polymorph_mev_per_atom": 116,
  "magnetic_moment_mub_per_cell": 0.0,
  "ef_kj_per_mol_atoms": 34.34,
  "space_group": "Cm, No. 8"
}